DFT (PBE+U) results for an optimized crystal structure of NdCrAgO5.

Lattice parameters (Å, degrees): 6.267 6.267 8.628 109.22 109.22 93.06
Fractional positions:
Nd  0.000  0.000  0.500
Nd  0.000  0.000  0.000
Cr  0.641  0.359  0.250
Cr  0.359  0.641  0.750
Ag  0.313  0.687  0.250
Ag  0.687  0.313  0.750
O  0.083  0.917  0.250
O  0.917  0.083  0.750
O  0.771  0.276  0.106
O  0.229  0.724  0.894
O  0.724  0.229  0.394
O  0.276  0.771  0.606
O  0.717  0.646  0.357
O  0.283  0.354  0.643
O  0.354  0.283  0.143
O  0.646  0.717  0.857

Magnetic moment: 0.00 μB per formula unit
Volume: 149 Å³/f.u.
Calculated density: 4.293 g/cm³
Total DFT energy (no corrections): -6.633 eV/atom